(1)
A plane-wave DFT calculation with PBE was carried out for a relaxed NaPmNO crystal.

Values from the calculation:
- Space group: Pca2_1
- Excess energy over the best structure of this formula in the dataset: 8 meV per atom
- VASP energy: -0.22517 Ha/atom

```
NaPmNO
1.0
6.040 0.000 0.000
0.000 7.072 0.000
0.000 0.000 5.705
N Na O Pm
4 4 4 4
Direct
0.250 0.142 0.176
0.750 0.858 0.176
0.250 0.142 0.676
0.750 0.858 0.676
0.588 0.112 0.427
0.088 0.888 0.427
0.912 0.112 0.927
0.412 0.888 0.927
0.750 0.417 0.175
0.250 0.583 0.175
0.750 0.417 0.675
0.250 0.583 0.675
0.067 0.364 0.425
0.567 0.636 0.425
0.433 0.364 0.925
0.933 0.636 0.925
```

(2)
A plane-wave DFT calculation with PBE was carried out for a relaxed Nd4Al2O9 crystal.

Values from the calculation:
- Space group: P2_1/c
- VASP energy: -0.29539 Ha/atom

```
Nd4Al2O9
1.0
-5.546 4.452 3.029
-7.492 -5.527 -5.595
1.656 -8.992 6.665
Al Nd O
8 16 36
Direct
0.653 0.190 0.119
0.223 0.192 0.129
0.777 0.692 0.371
0.347 0.690 0.381
0.653 0.310 0.619
0.223 0.308 0.629
0.777 0.808 0.871
0.347 0.810 0.881
0.667 0.625 0.072
0.165 0.622 0.088
0.972 0.915 0.187
0.475 0.899 0.211
0.525 0.399 0.289
0.028 0.415 0.313
0.835 0.122 0.412
0.333 0.125 0.428
0.667 0.875 0.572
0.165 0.878 0.588
0.972 0.585 0.687
0.475 0.601 0.711
0.525 0.101 0.789
0.028 0.085 0.813
0.835 0.378 0.912
0.333 0.375 0.928
0.922 0.765 0.020
0.358 0.771 0.034
0.433 0.509 0.104
0.924 0.496 0.107
0.434 0.242 0.117
0.217 0.036 0.164
0.700 0.037 0.172
0.768 0.777 0.236
0.784 0.279 0.247
0.216 0.779 0.253
0.232 0.277 0.264
0.300 0.537 0.328
0.783 0.536 0.336
0.566 0.742 0.383
0.076 0.996 0.393
0.567 0.009 0.396
0.642 0.271 0.466
0.078 0.265 0.480
0.922 0.735 0.520
0.358 0.729 0.534
0.433 0.991 0.604
0.924 0.004 0.607
0.434 0.258 0.617
0.217 0.464 0.664
0.700 0.463 0.672
0.768 0.723 0.736
0.784 0.221 0.747
0.216 0.721 0.753
0.232 0.223 0.764
0.300 0.963 0.828
0.783 0.964 0.836
0.566 0.758 0.883
0.076 0.504 0.893
0.567 0.491 0.896
0.642 0.229 0.966
0.078 0.235 0.980
```

(3)
A plane-wave DFT calculation with PBE was carried out for a relaxed Hf2Tl2O5 crystal.

Values from the calculation:
- Space group: P4/mmm
- Excess energy over the best structure of this formula in the dataset: 1677 meV per atom
- VASP energy: -0.22755 Ha/atom

```
Hf2Tl2O5
1.0
-2.597 7.900 4.270
-2.690 -1.758 1.616
2.168 -0.780 2.761
Hf O Tl
2 5 2
Direct
0.000 0.000 0.000
0.500 0.000 0.000
0.346 0.500 0.000
0.654 0.500 0.000
0.346 0.000 0.500
0.654 0.000 0.500
0.500 0.500 0.500
0.202 0.500 0.500
0.798 0.500 0.500
```

(4)
A plane-wave DFT calculation with PBE was carried out for a relaxed ZrSnGe crystal.

Values from the calculation:
- Space group: F-43m
- Excess energy over the best structure of this formula in the dataset: 0 meV per atom
- VASP energy: -0.20608 Ha/atom

```
ZrSnGe
1.0
2.056 -3.407 -2.626
-2.286 -4.109 -0.787
-1.680 -0.998 -4.349
Ge Sn Zr
1 1 1
Direct
0.250 0.250 0.250
0.750 0.750 0.750
0.000 0.000 0.000
```

Question: VASP energy of number 2 (Nd4Al2O9)?
Answer: -0.29539 Ha/atom

Question: The highest VASP energy belongs to which entry?
Answer: ZrSnGe

Question: Look up the VASP energy of the first one.
Answer: -0.22517 Ha/atom